LiZn2Te PBE optimized geometry; raw formation energy = -18 kJ per mole of atoms; spin magnetization = 0.0000 μB per atom; uncorrected energy = -8.4 eV for the cell shown
1.0
4.490 0.000 -0.001
-2.303 6.294 -0.028
-0.116 0.757 2.964
Zn Te Li
2 1 1
direct
0.000 0.000 0.000
0.500 0.000 0.500
0.500 0.500 0.000
0.000 0.500 0.500

Pm2Sm2Si4Ir PBE optimized geometry; raw formation energy = -35 kJ per mole of atoms; spin magnetization = 0.0002 μB per atom; uncorrected energy = -52.7 eV for the cell shown
1.0
6.562 0.160 0.231
-3.010 5.834 -0.231
-3.010 -2.266 5.381
Ir Pm Si Sm
1 2 4 2
direct
0.000 0.000 0.000
0.000 0.686 0.686
0.000 0.314 0.314
0.000 0.243 0.757
0.486 0.243 0.243
0.514 0.757 0.757
0.000 0.757 0.243
0.500 0.750 0.250
0.500 0.250 0.750

ErU2CrC4 PBE optimized geometry; spin magnetization = 0.0038 μB per atom; uncorrected energy = -148.3 eV for the cell shown; energy of formation from the pure elements = -0.061 eV per atom
1.0
-1.034 1.032 3.219
-2.346 -5.220 -1.021
9.376 -5.123 4.655
C U Er Cr
8 4 2 2
direct
0.261 0.523 0.374
0.739 0.477 0.874
0.000 0.000 0.000
0.428 0.856 0.750
0.739 0.477 0.626
0.572 0.144 0.250
0.000 0.000 0.500
0.261 0.523 0.126
0.370 0.740 0.952
0.630 0.260 0.048
0.630 0.260 0.452
0.370 0.740 0.548
0.117 0.233 0.750
0.883 0.767 0.250
0.850 0.700 0.750
0.150 0.300 0.250